Entry from Alexandria: crystalline Mo2PbCF at its relaxed geometry (PBE with a Hubbard U).

CIF file:
```
data_Mo2PbCF
_symmetry_space_group_name_H-M 'P 4/m m m'
_symmetry_Int_Tables_number 123
_symmetry_space_group_name_Hall '-P 4 2'
_cell_length_a 5.652
_cell_length_b 5.652
_cell_length_c 4.526
_cell_angle_alpha 90.00
_cell_angle_beta 90.00
_cell_angle_gamma 90.00
loop_
_atom_site_label
_atom_site_type_symbol
_atom_site_fract_x
_atom_site_fract_y
_atom_site_fract_z
Mo1 Mo 0.000 0.500 0.000
Pb1 Pb 0.000 0.000 0.000
C1 C 0.500 0.500 0.500
F1 F 0.000 0.000 0.500
```

Mass density   4.940 g/cm3
Energy   -3.84 eV/atom